The following is a DFT calculation (PBE) of a relaxed structure of KIn3Bi.

Properties
The space-group type is Pm-3m, No. 221. As for the energy above the lowest structure with this stoichiometry: 921 meV/atom.

Geometry as POSCAR:
```
KIn3Bi
1.0
-4.076 -2.928 -3.178
3.743 -4.575 -0.586
-2.159 -2.405 4.985
In Bi K
3 1 1
Direct
0.000 0.500 0.000
0.500 0.000 0.000
0.000 0.000 0.500
0.500 0.500 0.500
0.000 0.000 0.000
```

=====

The following is a DFT calculation (PBE) of a relaxed structure of PrUInO6.

Properties
The space-group type is P-31c, No. 163. The calculation puts the uncorrected formation energy at -2735.5 meV/atom.

Geometry as POSCAR:
```
PrUInO6
1.0
-4.167 -3.732 -0.465
3.929 0.331 -3.995
5.694 -6.984 5.021
O Pr U In
12 2 2 2
Direct
0.014 0.359 0.638
0.359 0.014 0.138
0.641 0.655 0.638
0.986 0.345 0.138
0.345 0.986 0.638
0.641 0.986 0.862
0.359 0.345 0.362
0.655 0.014 0.362
0.655 0.641 0.138
0.345 0.359 0.862
0.014 0.655 0.862
0.986 0.641 0.362
0.000 0.000 0.000
0.000 0.000 0.500
0.667 0.333 0.250
0.333 0.667 0.750
0.333 0.667 0.250
0.667 0.333 0.750
```

=====

The following is a DFT calculation (PBE) of a relaxed structure of LaGdDyEr.

Properties
The space-group type is F-43m, No. 216. As for the total energy: -6.943 eV/atom.

Geometry as POSCAR:
```
LaGdDyEr
1.0
5.733 0.000 0.000
2.867 4.965 0.000
2.867 1.655 4.681
Er La Dy Gd
1 1 1 1
Direct
0.500 0.500 0.500
0.250 0.250 0.250
0.000 0.000 0.000
0.750 0.750 0.750
```

=====

The following is a DFT calculation (PBE) of a relaxed structure of Y3PaTl3Te8.

Properties
The space-group type is R-3m, No. 166. The calculation puts the uncorrected formation energy at -1012.9 meV/atom.

Geometry as POSCAR:
```
Y3PaTl3Te8
1.0
-5.202 -7.081 -1.058
7.831 -0.825 4.040
-7.077 4.459 4.932
Y Pa Tl Te
3 1 3 8
Direct
0.500 0.000 0.500
0.500 0.500 0.500
0.000 0.500 0.500
0.000 0.000 0.500
0.500 0.500 0.000
0.000 0.000 0.000
0.000 0.500 0.000
0.737 0.975 0.713
0.762 0.025 0.287
0.263 0.025 0.287
0.238 0.476 0.713
0.262 0.524 0.286
0.738 0.476 0.714
0.238 0.975 0.713
0.762 0.524 0.287
```

=====

> Number 4 is which compound?

Y3PaTl3Te8

=====

> What is the formula in the fourth record?

Y3PaTl3Te8